11
Lattice="-2.575 6.775 -2.991 -7.415 1.541 3.641 0.834 5.750 6.071" Properties=species:S:1:pos:R:3 comment="PmSb2Br8 (GGA-PBE, optimized geometry)" e_form_raw_mev_per_atom=-888 spacegroup="C2/m, No. 12" crystal_system=monoclinic pbc="T T T"
Br -7.389 7.243 1.231
Br -2.665 3.742 2.564
Br -6.491 10.323 4.156
Pm 0.000 0.000 0.000
Br -2.444 9.766 2.688
Br -6.712 4.299 4.032
Br -5.912 7.628 6.858
Sb -7.105 10.125 6.582
Sb -2.051 3.940 0.138
Br -1.767 6.822 5.489
Br -3.244 6.437 -0.138



10
Lattice="-3.870 -1.238 0.613 2.959 -8.318 1.876 2.141 4.109 8.043" Properties=species:S:1:pos:R:3 comment="Pm4SbBr5 (GGA-PBE, optimized geometry)" e_form_raw_mev_per_atom=-1471 spacegroup="C2/m, No. 12" crystal_system=monoclinic pbc="T T T"
Br -1.225 0.098 6.239
Pm 2.906 -5.480 7.272
Br -0.456 -4.778 1.245
Pm 0.713 -1.988 0.486
Br 0.239 -4.026 7.146
Br 2.454 -5.545 4.293
Sb -1.935 -0.619 0.307
Pm -1.676 0.034 3.260
Br 0.991 -1.421 3.386
Pm 0.517 -3.459 10.046



20
Lattice="9.100 -0.267 -2.820 -3.752 8.295 -2.820 -0.178 -0.267 9.525" Properties=species:S:1:pos:R:3 comment="Pm7SbBr12 (GGA-PBE, optimized geometry)" e_form_raw_mev_per_atom=-1623 spacegroup="R-3, No. 148" crystal_system=trigonal pbc="T T T"
Br 1.758 3.770 -0.885
Br 5.425 1.670 -1.845
Pm 2.585 3.880 1.943
Pm 2.543 6.899 4.797
Pm 6.106 5.004 3.841
Br 3.527 7.361 -1.838
Pm 4.320 7.562 1.109
Pm 0.850 0.197 2.777
Br 5.241 4.685 0.948
Br 7.095 2.111 3.899
Br 3.411 3.990 4.771
Br 3.619 1.119 1.935
Br -0.071 3.075 2.938
Br 1.551 6.641 1.950
Sb 0.000 0.000 0.000
Pm -0.936 2.756 0.045
Br -0.255 6.090 5.731
Br -1.925 5.649 -0.014
Br 1.643 0.399 5.724
Pm 2.627 0.861 -0.912



20
Lattice="6.318 0.000 0.000 0.000 9.166 -0.939 0.000 -4.415 10.829" Properties=species:S:1:pos:R:3 comment="Pm3SbBr (GGA-PBE, optimized geometry)" e_form_raw_mev_per_atom=-797 spacegroup="P2_1/c, No. 14" crystal_system=monoclinic pbc="T T T"
Pm 5.583 -2.841 10.346
Pm 4.401 6.979 3.002
Pm 2.460 1.291 2.006
Br 5.277 1.397 5.960
Br 4.201 8.187 0.076
Pm 5.619 1.084 2.939
Sb 1.930 0.807 8.579
Br 1.041 3.354 3.930
Sb 1.229 7.597 2.695
Pm 0.699 3.667 6.951
Pm 1.917 -2.228 6.887
Sb 4.388 3.944 1.311
Pm 3.859 3.460 7.883
Pm 3.895 3.950 4.462
Br 2.118 -3.436 9.813
Pm 0.736 7.591 -0.457
Pm 2.424 0.801 5.427
Pm 1.242 4.562 1.003
Pm 5.077 0.189 8.886
Sb 5.090 -2.846 7.194



5
Lattice="-3.819 1.902 -0.864 -3.209 -0.128 2.938 1.286 9.866 5.062" Properties=species:S:1:pos:R:3 comment="Pm2SbBr2 (GGA-PBE, optimized geometry)" e_form_raw_mev_per_atom=-1526 spacegroup="R-3m, No. 166" crystal_system=trigonal pbc="T T T"
Br -4.579 8.032 5.023
Sb 0.000 0.000 0.000
Pm -1.653 8.931 5.034
Br -1.163 3.607 2.112
Pm -4.089 2.708 2.101



4
Lattice="5.377 0.000 0.000 2.689 4.657 0.000 2.689 1.552 4.391" Properties=species:S:1:pos:R:3 comment="Pm2SbBr (GGA-PBE, optimized geometry)" e_form_raw_mev_per_atom=-1099 spacegroup="Fm-3m, No. 225" crystal_system=cubic pbc="T T T"
Br 5.377 3.105 2.195
Pm 2.689 1.552 1.098
Sb 0.000 0.000 0.000
Pm 8.066 4.657 3.293



What did the second record say?
10
Lattice="-3.870 -1.238 0.613 2.959 -8.318 1.876 2.141 4.109 8.043" Properties=species:S:1:pos:R:3 comment="Pm4SbBr5 (GGA-PBE, optimized geometry)" e_form_raw_mev_per_atom=-1471 spacegroup="C2/m, No. 12" crystal_system=monoclinic pbc="T T T"
Br -1.225 0.098 6.239
Pm 2.906 -5.480 7.272
Br -0.456 -4.778 1.245
Pm 0.713 -1.988 0.486
Br 0.239 -4.026 7.146
Br 2.454 -5.545 4.293
Sb -1.935 -0.619 0.307
Pm -1.676 0.034 3.260
Br 0.991 -1.421 3.386
Pm 0.517 -3.459 10.046